[1]
A relaxed SbMo4Ru crystal, computed with GGA-PBE.

## Properties
The density of states at the Fermi level is 6.0 states/eV/f.u. The magnetic moment comes out at 0.00 μB/f.u. As for the formation energy from raw total energies: 45.7 kJ/mol of atoms.

Geometry as CIF:
```
data_SbMo4Ru
_cell_length_a 7.4106
_cell_length_b 7.4106
_cell_length_c 7.4106
_cell_angle_alpha 90.00
_cell_angle_beta 90.00
_cell_angle_gamma 90.00
_symmetry_space_group_name_H-M 'F -4 3 m'
_symmetry_Int_Tables_number 216
_symmetry_space_group_name_Hall 'F -4 2 3'
loop_
_atom_site_label
_atom_site_type_symbol
_atom_site_fract_x
_atom_site_fract_y
_atom_site_fract_z
Sb1 Sb 0.0000 0.0000 0.0000
Mo1 Mo 0.1256 0.1256 0.3744
Ru1 Ru 0.2500 0.2500 0.7500
```


[2]
A relaxed GdTm2Sc crystal, computed with GGA-PBE.

## Properties
The density of states at the Fermi level is 6.5 states/eV/f.u. The formation energy is 0.2 eV/f.u. The magnetic moment comes out at 7.39 μB/f.u. For the relative energy among the computed polymorphs, the calculation gives 0.0037 eV/atom.

Geometry as CIF:
```
data_GdTm2Sc
_cell_length_a 3.4648
_cell_length_b 3.4648
_cell_length_c 33.6245
_cell_angle_alpha 90.00
_cell_angle_beta 90.00
_cell_angle_gamma 120.00
_symmetry_space_group_name_H-M 'R -3 m'
_symmetry_Int_Tables_number 166
_symmetry_space_group_name_Hall '-R 3 2"'
loop_
_atom_site_label
_atom_site_type_symbol
_atom_site_fract_x
_atom_site_fract_y
_atom_site_fract_z
Gd1 Gd 0.0000 0.0000 0.0000
Tm1 Tm 0.0000 0.0000 0.2466
Sc1 Sc 0.0000 0.0000 0.5000
```


[3]
A relaxed Cs2RbAg2Br6 crystal, computed with GGA-PBE.

## Properties
The density of states at the Fermi level is 6.1 states/eV/f.u. The magnetic moment comes out at 0.00 μB/f.u. As for the formation energy from raw total energies: -102.2 kJ/mol of atoms.

Geometry as CIF:
```
data_Cs2RbAg2Br6
_cell_length_a 14.8330
_cell_length_b 7.5290
_cell_length_c 9.3044
_cell_angle_alpha 90.00
_cell_angle_beta 116.04
_cell_angle_gamma 90.00
_symmetry_space_group_name_H-M 'C 1 2/m 1'
_symmetry_Int_Tables_number 12
loop_
_symmetry_equiv_pos_as_xyz
'x,y,z'
'-x,-y,-z'
'-x,y,-z'
'x,-y,z'
'x+1/2,y+1/2,z'
'-x+1/2,-y+1/2,-z'
'-x+1/2,y+1/2,-z'
'x+1/2,-y+1/2,z'
loop_
_atom_site_label
_atom_site_type_symbol
_atom_site_fract_x
_atom_site_fract_y
_atom_site_fract_z
Cs1 Cs 0.2261 0.0000 0.2188
Rb1 Rb 0.0000 0.0000 0.5000
Ag1 Ag 0.0509 0.5000 0.1898
Br1 Br 0.0700 0.2384 0.8454
Br2 Br 0.2422 0.5000 0.3585
```


[4]
A relaxed NpTl3S3 crystal, computed with GGA-PBE.

## Properties
The density of states at the Fermi level is 10.0 states/eV/f.u. The magnetic moment comes out at 3.92 μB/f.u. As for the formation energy from raw total energies: -72.0 kJ/mol of atoms.

Geometry as CIF:
```
data_NpTl3S3
_cell_length_a 8.7224
_cell_length_b 4.0772
_cell_length_c 11.8615
_cell_angle_alpha 90.00
_cell_angle_beta 90.26
_cell_angle_gamma 90.00
_symmetry_space_group_name_H-M 'P 1 21/m 1'
_symmetry_Int_Tables_number 11
loop_
_symmetry_equiv_pos_as_xyz
'x,y,z'
'-x,-y,-z'
'-x,y+1/2,-z'
'x,-y+1/2,z'
loop_
_atom_site_label
_atom_site_type_symbol
_atom_site_fract_x
_atom_site_fract_y
_atom_site_fract_z
Np1 Np 0.1219 0.2500 0.3795
Tl1 Tl 0.1402 0.2500 0.8705
Tl2 Tl 0.3497 0.7500 0.1329
Tl3 Tl 0.3741 0.7500 0.6348
S1 S 0.0891 0.2500 0.6090
S2 S 0.1053 0.2500 0.1485
S3 S 0.3341 0.7500 0.3829
```


[5]
A relaxed CaZn2Hg crystal, computed with GGA-PBE.

## Properties
The density of states at the Fermi level is 2.8 states/eV/f.u. The formation energy is -0.9 eV/f.u. The magnetic moment comes out at 0.00 μB/f.u.

Geometry as CIF:
```
data_CaZn2Hg
_cell_length_a 7.8741
_cell_length_b 4.5581
_cell_length_c 5.6457
_cell_angle_alpha 90.00
_cell_angle_beta 117.72
_cell_angle_gamma 90.00
_symmetry_space_group_name_H-M 'C 1 m 1'
_symmetry_Int_Tables_number 8
loop_
_symmetry_equiv_pos_as_xyz
'x,y,z'
'x,-y,z'
'x+1/2,y+1/2,z'
'x+1/2,-y+1/2,z'
loop_
_atom_site_label
_atom_site_type_symbol
_atom_site_fract_x
_atom_site_fract_y
_atom_site_fract_z
Ca1 Ca 0.0000 0.0000 0.0000
Zn1 Zn 0.0411 0.5000 0.6248
Zn2 Zn 0.2129 0.0000 0.6411
Hg1 Hg 0.2834 0.5000 0.3511
```


[6]
A relaxed V2SiS4 crystal, computed with GGA-PBE.

## Properties
The density of states at the Fermi level is 2.9 states/eV/f.u. The magnetic moment comes out at 0.00 μB/f.u. As for the formation energy from raw total energies: -65.9 kJ/mol of atoms.

Geometry as CIF:
```
data_V2SiS4
_cell_length_a 12.7388
_cell_length_b 3.2600
_cell_length_c 5.7662
_cell_angle_alpha 90.00
_cell_angle_beta 111.11
_cell_angle_gamma 90.00
_symmetry_space_group_name_H-M 'C 1 2/m 1'
_symmetry_Int_Tables_number 12
loop_
_symmetry_equiv_pos_as_xyz
'x,y,z'
'-x,-y,-z'
'-x,y,-z'
'x,-y,z'
'x+1/2,y+1/2,z'
'-x+1/2,-y+1/2,-z'
'-x+1/2,y+1/2,-z'
'x+1/2,-y+1/2,z'
loop_
_atom_site_label
_atom_site_type_symbol
_atom_site_fract_x
_atom_site_fract_y
_atom_site_fract_z
V1 V 0.2350 0.0000 0.1730
Si1 Si 0.0000 0.5000 0.5000
S1 S 0.1121 0.5000 0.9503
S2 S 0.1422 0.0000 0.4968
```